No. 1
Here is a crystal of SiOs2W relaxed with PBEsol from the Alexandria database. Energies are from meta-GGA SCAN.

E_tot = -55.570 eV per atom
Total magnetization = 0.00 Bohr magnetons per cell
Uncorrected formation energy = 0.296 eV per atom
SG = C2/m (12)
V = 14.2 A^3/atom

abc: 2.7443 4.7933 5.0915
angles: 116.86 103.68 94.01
Element x y z (fractional)
Os1 0.0000 0.0000 0.5000
Os2 0.5000 0.5000 0.5000
Si1 0.5000 0.0000 0.0000
W1 0.0000 0.5000 0.0000

No. 2
Here is a crystal of SiOs2W relaxed with PBEsol from the Alexandria database. Energies are from meta-GGA SCAN.

E_tot = -55.923 eV per atom
Total magnetization = 0.00 Bohr magnetons per cell
Uncorrected formation energy = -0.057 eV per atom
SG = Imm2 (44)
V = 13.9 A^3/atom

abc: 2.9022 4.3740 5.1025
angles: 115.38 106.52 90.00
Element x y z (fractional)
Os1 0.0011 0.0011 0.0023
Os2 0.7758 0.2758 0.5516
Si1 0.4945 0.4945 0.9891
W1 0.2285 0.7285 0.4570

No. 3
Here is a crystal of Si2OsW relaxed with PBEsol from the Alexandria database. Energies are from meta-GGA SCAN.

E_tot = -40.186 eV per atom
Total magnetization = 0.00 Bohr magnetons per cell
Uncorrected formation energy = 0.214 eV per atom
SG = Cmmm (65)
V = 14.0 A^3/atom

abc: 2.8202 2.8202 7.9524
angles: 90.00 90.00 117.51
Element x y z (fractional)
Os1 0.5000 0.5000 0.0000
Si1 0.0000 0.0000 0.2428
Si2 0.0000 0.0000 0.7572
W1 0.5000 0.5000 0.5000

No. 4
Here is a crystal of SiOsW relaxed with PBEsol from the Alexandria database. Energies are from meta-GGA SCAN.

E_tot = -50.720 eV per atom
Total magnetization = 0.00 Bohr magnetons per cell
Uncorrected formation energy = -0.192 eV per atom
SG = P-6m2 (187)
V = 14.0 A^3/atom

abc: 2.8033 4.1624 4.1624
angles: 120.00 90.00 90.00
Element x y z (fractional)
Si1 0.0000 0.3333 0.6667
Os1 0.0000 0.0000 0.0000
W1 0.5000 0.6667 0.3333

No. 5
Here is a crystal of Y2SiOs relaxed with PBEsol from the Alexandria database. Energies are from meta-GGA SCAN.

E_tot = -34.853 eV per atom
Total magnetization = 0.00 Bohr magnetons per cell
Uncorrected formation energy = -0.457 eV per atom
SG = Imm2 (44)
V = 20.7 A^3/atom

abc: 3.2961 4.6442 6.1226
angles: 112.29 105.62 90.00
Element x y z (fractional)
Os1 0.4741 0.4741 0.9482
Si1 0.8093 0.3093 0.6187
Y1 0.0002 0.0002 0.0004
Y2 0.2164 0.7164 0.4327

No. 6
Here is a crystal of Y2SiOs relaxed with PBEsol from the Alexandria database. Energies are from meta-GGA SCAN.

E_tot = -35.019 eV per atom
Total magnetization = 0.01 Bohr magnetons per cell
Uncorrected formation energy = -0.624 eV per atom
SG = Amm2 (38)
V = 21.4 A^3/atom

abc: 3.9013 4.1576 5.6635
angles: 111.53 90.00 90.00
Element x y z (fractional)
Y1 0.0000 0.1056 0.2112
Y2 0.5000 0.3868 0.7735
Si1 0.5000 0.6861 0.3722
Os1 0.0000 0.8215 0.6430

No. 7
Here is a crystal of Y3Si12Os4 relaxed with PBEsol from the Alexandria database. Energies are from meta-GGA SCAN.

E_tot = -26.459 eV per atom
Total magnetization = 0.00 Bohr magnetons per cell
Uncorrected formation energy = -0.605 eV per atom
SG = Cmce (64)
V = 15.9 A^3/atom

abc: 8.0935 8.0984 10.0604
angles: 90.00 113.72 90.00
Element x y z (fractional)
Os1 0.1269 0.8730 0.0000
Os2 0.3731 0.3730 0.0000
Os3 0.6269 0.6270 0.0000
Os4 0.8731 0.1270 0.0000
Os5 0.1691 0.5000 0.3383
Os6 0.3309 0.0000 0.6617
Os7 0.8309 0.5000 0.6617
Os8 0.6691 0.0000 0.3383
Si1 0.1210 0.7715 0.2343
Si2 0.3790 0.2715 0.7657
Si3 0.3867 0.7285 0.7657
Si4 0.1133 0.2285 0.2343
Si5 0.8790 0.2285 0.7657
Si6 0.6210 0.7285 0.2343
Si7 0.6133 0.2715 0.2343
Si8 0.8867 0.7715 0.7657
Si9 0.6112 0.5052 0.7656
Si10 0.8888 0.0052 0.2344
Si11 0.3456 0.9948 0.2344
Si12 0.1544 0.4948 0.7656
Si13 0.3888 0.4948 0.2344
Si14 0.1112 0.9948 0.7656
Si15 0.6544 0.0052 0.7656
Si16 0.8456 0.5052 0.2344
Si17 0.3321 0.6676 0.0000
Si18 0.1679 0.1676 0.0000
Si19 0.8321 0.8324 0.0000
Si20 0.6679 0.3324 0.0000
Si21 0.2951 0.5000 0.5902
Si22 0.2049 0.0000 0.4098
Si23 0.7049 0.5000 0.4098
Si24 0.7951 0.0000 0.5902
Y1 0.5020 0.7500 0.5000
Y2 0.9980 0.2500 0.5000
Y3 0.4980 0.2500 0.5000
Y4 0.0020 0.7500 0.5000
Y5 0.0000 0.5000 0.0000
Y6 0.5000 0.0000 0.0000

No. 8
Here is a crystal of ZnSi2Os relaxed with PBEsol from the Alexandria database. Energies are from meta-GGA SCAN.

E_tot = -26.337 eV per atom
Total magnetization = 0.00 Bohr magnetons per cell
Uncorrected formation energy = 0.019 eV per atom
SG = Amm2 (38)
V = 14.1 A^3/atom

abc: 3.0332 4.2011 4.6928
angles: 90.00 108.86 90.00
Element x y z (fractional)
Os1 0.3120 0.5000 0.6240
Si1 0.1813 0.0000 0.3625
Si2 0.5930 0.5000 0.1860
Zn1 0.9146 0.0000 0.8292

No. 9
Here is a crystal of ZnSiOs2 relaxed with PBEsol from the Alexandria database. Energies are from meta-GGA SCAN.

E_tot = -41.727 eV per atom
Total magnetization = 0.00 Bohr magnetons per cell
Uncorrected formation energy = 0.095 eV per atom
SG = Immm (71)
V = 13.8 A^3/atom

abc: 2.8476 4.5401 5.0294
angles: 116.83 106.44 90.00
Element x y z (fractional)
Os1 0.7790 0.7790 0.5579
Os2 0.2210 0.2210 0.4421
Si1 0.5000 0.0000 0.0000
Zn1 0.0000 0.5000 0.0000

No. 10
Here is a crystal of ZnSi2Os relaxed with PBEsol from the Alexandria database. Energies are from meta-GGA SCAN.

E_tot = -26.225 eV per atom
Total magnetization = 0.00 Bohr magnetons per cell
Uncorrected formation energy = 0.132 eV per atom
SG = Pmmm (47)
V = 13.4 A^3/atom

abc: 2.9355 3.4931 5.2083
angles: 90.00 90.00 90.00
Element x y z (fractional)
Os1 0.5000 0.5000 0.5000
Si1 0.0003 0.0000 0.7452
Si2 0.9997 0.0000 0.2548
Zn1 0.5000 0.5000 0.0000

No. 11
Here is a crystal of ZnSiOs2 relaxed with PBEsol from the Alexandria database. Energies are from meta-GGA SCAN.

E_tot = -41.704 eV per atom
Total magnetization = 0.00 Bohr magnetons per cell
Uncorrected formation energy = 0.119 eV per atom
SG = P4mm (99)
V = 13.2 A^3/atom

abc: 3.0231 3.0231 5.7853
angles: 90.00 90.00 90.00
Element x y z (fractional)
Os1 0.0000 0.0000 0.9729
Os2 0.5000 0.5000 0.2824
Si1 0.0000 0.0000 0.5026
Zn1 0.5000 0.5000 0.7421

No. 12
Here is a crystal of ZnSi2Os relaxed with PBEsol from the Alexandria database. Energies are from meta-GGA SCAN.

E_tot = -25.895 eV per atom
Total magnetization = 0.00 Bohr magnetons per cell
Uncorrected formation energy = 0.462 eV per atom
SG = F-43m (216)
V = 13.5 A^3/atom

abc: 4.2379 4.2379 4.2379
angles: 60.00 60.00 60.00
Element x y z (fractional)
Os1 0.5000 0.5000 0.5000
Si1 0.0000 0.0000 0.0000
Si2 0.2500 0.2500 0.2500
Zn1 0.7500 0.7500 0.7500